This record from OQMD via LeMat-Bulk describes an optimized crystal structure of Ta2MoOs. The functional is PBE-GGA.

The space group is P4/mmm (No. 123) and the conventional cell measures 4.534, 4.534 and 3.196 Å, with angles of 90.00, 90.00 and 90.00 degrees. The distinct sites, in fractional coordinates, are Ta at (0.000, 0.500, 0.000), Mo at (0.000, 0.000, 0.500) and Os at (0.500, 0.500, 0.500).

The formation enthalpy at 0 K comes out at -0.369 eV per atom. The calculated volume comes out at 16.430 Å³ per atom.